1.
A relaxed structure of TcI2O2. Source: the Alexandria database, functional GGA-PBE.

Output
Energy relative to the lowest polymorph listed for this composition, eV/atom: 0.7837
Space group: P4/mmm, No. 123
E_tot, eV/atom: -4.017
D(E_F), states/eV/cell: 3.8
Formation energy from raw total energies, eV per atom: 0.6598

Cell lengths 4.0603, 4.0603, 7.9372 Å; angles 90.00, 90.00, 90.00 degrees
With the nearest neighbours (Å) after each atom.
Fractional coordinates of all 5 atoms:
Tc (0.0000, 0.0000, 0.0000)  4 I 2.87
I (0.5000, 0.5000, 0.0000)  4 Tc 2.87
I (0.5000, 0.5000, 0.5000)  4 O 2.03
O (0.0000, 0.5000, 0.5000)  2 I 2.03
O (0.5000, 0.0000, 0.5000)  2 I 2.03

2.
A relaxed structure of Tc2I2O7. Source: the Alexandria database, functional GGA-PBE.

Output
Space group: C2/m, No. 12
E_tot, eV/atom: -6.327
Formation energy from raw total energies, eV per atom: -1.0056

Cell lengths 8.5374, 8.5374, 8.0915 Å; angles 95.91, 95.91, 141.77 degrees
With the nearest neighbours (Å) after each atom.
Fractional coordinates of all 11 atoms:
Tc (0.2110, 0.2110, 0.3035)  4 O 1.71-1.88
Tc (0.7890, 0.7890, 0.6965)  4 O 1.71-1.88
I (0.2758, 0.7242, 0.0000)  2 I 2.92
I (0.7242, 0.2758, 0.0000)  2 I 2.92
O (0.0527, 0.8807, 0.6947)  1 Tc 1.71
O (0.1193, 0.9473, 0.3053)  1 Tc 1.71
O (0.2935, 0.2935, 0.1172)  1 Tc 1.71
O (0.5000, 0.5000, 0.5000)  2 Tc 1.88
O (0.7065, 0.7065, 0.8828)  1 Tc 1.71
O (0.8807, 0.0527, 0.6947)  1 Tc 1.71
O (0.9473, 0.1193, 0.3053)  1 Tc 1.71

3.
A relaxed structure of TcTeI2O. Source: the Alexandria database, functional GGA-PBE.

Output
Energy relative to the lowest polymorph listed for this composition, eV/atom: 0.0000
Space group: P4/mmm, No. 123
E_tot, eV/atom: -4.367
D(E_F), states/eV/cell: 3.4
Formation energy from raw total energies, eV per atom: -0.0534

Cell lengths 5.6805, 5.6805, 3.7758 Å; angles 90.00, 90.00, 90.00 degrees
With the nearest neighbours (Å) after each atom.
Fractional coordinates of all 5 atoms:
Tc (0.0000, 0.0000, 0.0000)  2 O 1.89
Te (0.5000, 0.5000, 0.5000)  8 I 3.41, 2 Te 3.78
I (0.0000, 0.5000, 0.0000)  2 Tc 2.84
I (0.5000, 0.0000, 0.0000)  2 Tc 2.84
O (0.0000, 0.0000, 0.5000)  2 Tc 1.89

The highest E_tot belongs to which entry?
TcI2O2